1.
MgAl6Ni5: relaxed, GGA-PBE.

Cell lengths 4.1610, 5.9416, 6.5890 Å; angles 90.00, 108.31, 90.00 degrees
Closest atoms and distances in Å follow each position.
Fractional positions:
Mg: 0.0000 0.0000 0.0000  8 Al 2.64-2.67, 4 Ni 2.89
Al: 0.1752 0.2588 0.3498  7 Ni 2.46-2.62, 1 Mg 2.67
Al: 0.1752 0.7412 0.3498  7 Ni 2.46-2.62, 1 Mg 2.67
Al: 0.5000 0.2723 0.0000  6 Ni 2.47-2.58, 2 Mg 2.64, 1 Al 2.71
Al: 0.5000 0.7277 0.0000  6 Ni 2.47-2.58, 2 Mg 2.64, 1 Al 2.71
Al: 0.8248 0.2588 0.6502  7 Ni 2.46-2.62, 1 Mg 2.67
Al: 0.8248 0.7412 0.6502  7 Ni 2.46-2.62, 1 Mg 2.67
Ni: 0.0000 0.5000 0.0000  8 Al 2.48-2.62
Ni: 0.3338 0.5000 0.6694  8 Al 2.46-2.53
Ni: 0.3398 0.0000 0.6787  8 Al 2.57-2.60
Ni: 0.6602 0.0000 0.3213  8 Al 2.57-2.60
Ni: 0.6662 0.5000 0.3306  8 Al 2.46-2.53

As for the space group: P2/m, No. 10. The density of states at the Fermi level is 4.38 states/eV per cell.

2.
MgAl2Ni: relaxed, GGA-PBE.

Cell lengths 14.1513, 7.2170, 4.9504 Å; angles 90.00, 90.00, 90.00 degrees
Closest atoms and distances in Å follow each position.
Fractional positions:
Mg: 0.1089 0.2500 0.2457  3 Ni 2.66-2.78
Mg: 0.1366 0.7500 0.0479  3 Ni 2.65-2.70
Mg: 0.3634 0.2500 0.5479  3 Ni 2.65-2.70
Mg: 0.3911 0.7500 0.7457  3 Ni 2.66-2.78
Mg: 0.6089 0.2500 0.2543  3 Ni 2.66-2.78
Mg: 0.6366 0.7500 0.4521  3 Ni 2.65-2.70
Mg: 0.8634 0.2500 0.9521  3 Ni 2.65-2.70
Mg: 0.8911 0.7500 0.7543  3 Ni 2.66-2.78
Al: 0.0384 0.0589 0.7431  3 Ni 2.47-2.53, 2 Al 2.76
Al: 0.0384 0.4411 0.7431  3 Ni 2.47-2.53, 2 Al 2.76
Al: 0.2111 0.5570 0.5499  3 Ni 2.45-2.47
Al: 0.2111 0.9430 0.5499  3 Ni 2.45-2.47
Al: 0.2889 0.0570 0.0499  3 Ni 2.45-2.47
Al: 0.2889 0.4430 0.0499  3 Ni 2.45-2.47
Al: 0.4616 0.5589 0.2431  3 Ni 2.47-2.53, 2 Al 2.76
Al: 0.4616 0.9411 0.2431  3 Ni 2.47-2.53, 2 Al 2.76
Al: 0.5384 0.0589 0.7569  3 Ni 2.47-2.53, 2 Al 2.76
Al: 0.5384 0.4411 0.7569  3 Ni 2.47-2.53, 2 Al 2.76
Al: 0.7111 0.5570 0.9501  3 Ni 2.45-2.47
Al: 0.7111 0.9430 0.9501  3 Ni 2.45-2.47
Al: 0.7889 0.0570 0.4501  3 Ni 2.45-2.47
Al: 0.7889 0.4430 0.4501  3 Ni 2.45-2.47
Al: 0.9616 0.5589 0.2569  3 Ni 2.47-2.53, 2 Al 2.76
Al: 0.9616 0.9411 0.2569  3 Ni 2.47-2.53, 2 Al 2.76
Ni: 0.0685 0.7500 0.5456  6 Al 2.45-2.50, 3 Mg 2.65-2.71
Ni: 0.1879 0.2500 0.7592  6 Al 2.46-2.53, 2 Mg 2.66-2.70
Ni: 0.3121 0.7500 0.2592  6 Al 2.46-2.53, 2 Mg 2.66-2.70
Ni: 0.4315 0.2500 0.0456  6 Al 2.45-2.50, 3 Mg 2.65-2.71
Ni: 0.5685 0.7500 0.9544  6 Al 2.45-2.50, 3 Mg 2.65-2.71
Ni: 0.6879 0.2500 0.7408  6 Al 2.46-2.53, 2 Mg 2.66-2.70
Ni: 0.8121 0.7500 0.2408  6 Al 2.46-2.53, 2 Mg 2.66-2.70
Ni: 0.9315 0.2500 0.4544  6 Al 2.45-2.50, 3 Mg 2.65-2.71

As for the space group: Pnma, No. 62. The density of states at the Fermi level is 8.46 states/eV per cell.

| no. | theoretical density (g cm⁻³) | DFT total energy (eV/atom) |
| --- | --- | --- |
| 1 | 5.15 | -4.904 |
| 2 | 3.60 | -4.100 |